Entry from OQMD via LeMat-Bulk: a geometry-optimized KRb2CdCl6 structure (PBE).

Geometry as POSCAR:
```
KRb2CdCl6
1.0
0.000 5.471 5.471
5.471 0.000 5.471
5.471 5.471 0.000
K Rb Cd Cl
1 2 1 6
Cartesian
0.000 0.000 0.000
2.736 2.736 2.736
8.207 8.207 8.207
5.471 5.471 5.471
5.471 5.471 2.897
5.471 2.897 5.471
8.046 5.471 5.471
2.897 5.471 5.471
5.471 8.046 5.471
5.471 5.471 8.046
```

Values from the calculation:
crystal system	cubic
ΔE to the lowest computed polymorph	0.027	eV/atom

***

Entry from OQMD via LeMat-Bulk: a geometry-optimized Ba2MgZnBi4 structure (PBE).

Geometry as POSCAR:
```
Ba2MgZnBi4
1.0
-2.340 2.340 12.479
2.340 -2.340 12.479
2.340 2.340 -12.479
Ba Mg Zn Bi
2 1 1 4
Cartesian
0.000 0.000 2.852
0.000 0.000 22.107
0.000 2.340 6.240
2.340 0.000 6.240
2.340 0.000 0.007
0.000 0.000 8.033
2.340 0.000 12.473
0.000 0.000 16.926
```

Values from the calculation:
crystal system	tetragonal
E	-0.252	Ry per atom